Record 1
Density functional theory data (PBE-GGA) for crystalline Ba2ZrTl3Te6 at its relaxed geometry.

Unit cell a=8.3379 b=8.3379 c=8.2034 alpha=100.01 beta=100.01 gamma=119.99
Closest atoms and distances in Å follow each position.
Fractional coordinates of all 12 atoms:
Te 0.6371 0.9227 0.7736  1 Zr 2.95
Tl 0.1641 0.8359 0.5000  4 Te 3.30-3.37
Te 0.9227 0.6371 0.7736  1 Zr 2.95
Ba 0.3342 0.6658 0.0000  6 Te 3.46-3.48
Te 0.0773 0.3629 0.2264  1 Zr 2.95
Te 0.3629 0.0773 0.2264  1 Zr 2.95
Tl 0.5000 0.5000 0.5000  4 Te 3.33
Tl 0.8359 0.1641 0.5000  4 Te 3.30-3.37
Zr 0.0000 0.0000 0.0000  6 Te 2.95-2.99
Te 0.7903 0.7903 0.2304  1 Zr 2.99, 2 Tl 3.30
Ba 0.6658 0.3342 0.0000  6 Te 3.46-3.48
Te 0.2097 0.2097 0.7696  1 Zr 2.99, 2 Tl 3.30

ΔE_f (raw)	-10.620	eV/f.u.
calculated density	6.3	Mg/m³
final energy	-48.96	eV/cell

Record 2
Density functional theory data (PBE-GGA) for crystalline CsHoHg2F8 at its relaxed geometry.

Unit cell a=5.0917 b=5.5363 c=8.4882 alpha=93.42 beta=88.28 gamma=90.61
Closest atoms and distances in Å follow each position.
Fractional coordinates of all 12 atoms:
F 0.5255 0.7262 0.4276  1 Hg 2.08
F 0.6560 0.7455 0.9733  1 Hg 2.23, 1 Ho 2.24
F 0.8246 0.2162 0.1971  1 Ho 2.17, 1 Hg 2.34
F 0.8706 0.2389 0.8279  1 Ho 2.15
Hg 0.4846 0.4968 0.2260  2 F 2.08-2.23
Hg 0.5154 0.5032 0.7740  2 F 2.08-2.23
F 0.1294 0.7611 0.1721  1 Ho 2.15
F 0.1754 0.7838 0.8029  1 Ho 2.17, 1 Hg 2.34
F 0.3440 0.2545 0.0267  1 Hg 2.23, 1 Ho 2.24
F 0.4745 0.2738 0.5724  1 Hg 2.08
Cs 0.0000 0.0000 0.5000  8 F 2.90-3.12
Ho 0.0000 0.0000 0.0000  6 F 2.15-2.24

ΔE_f (raw)	-30.144	eV/f.u.
calculated density	5.9	Mg/m³
final energy	-51.15	eV/cell

Record 3
Density functional theory data (PBE-GGA) for crystalline CaGa2Tc2 at its relaxed geometry.

Unit cell a=7.1560 b=7.1560 c=3.3002 alpha=90.00 beta=90.00 gamma=90.00
Closest atoms and distances in Å follow each position.
Fractional coordinates of all 10 atoms:
Ga 0.6287 0.1287 0.0000  1 Ga 2.60, 6 Tc 2.67-2.68, 2 Ca 2.81
Tc 0.3374 0.1626 0.5000  6 Ga 2.67-2.68
Tc 0.6626 0.8374 0.5000  6 Ga 2.67-2.68
Tc 0.1626 0.6626 0.5000  6 Ga 2.67-2.68
Tc 0.8374 0.3374 0.5000  6 Ga 2.67-2.68
Ca 0.5000 0.5000 0.0000  4 Ga 2.81, 8 Tc 3.15
Ga 0.8713 0.6287 0.0000  1 Ga 2.60, 6 Tc 2.67-2.68, 2 Ca 2.81
Ca 0.0000 0.0000 0.0000  4 Ga 2.81, 8 Tc 3.15
Ga 0.3713 0.8713 0.0000  1 Ga 2.60, 6 Tc 2.67-2.68, 2 Ca 2.81
Ga 0.1287 0.3713 0.0000  1 Ga 2.60, 6 Tc 2.67-2.68, 2 Ca 2.81

calculated density	7.4	Mg/m³
final energy	-57.55	eV/cell
relative energy among the computed polymorphs	0.054	eV/atom

What is the final energy in the third record? -57.55 eV/cell